(1)
First-principles (PBE-GGA) data for a geometry-optimized MnCoBr2 structure, as listed in Alexandria.

Values from the calculation:
Energy   -54.58 eV/cell
Total magnetization   18.24 μB per cell
Formation energy from raw total energies   0.357 eV/atom
Distance to the lowest polymorph of the same formula   0.442 eV per atom
Mass density   5.75 Mg/m³

Cell: 3.5392 3.5392 21.8502 Å, 90.00 90.00 120.00°
With the nearest neighbours (Å) after each atom.
Space group R-3m (No. 166, hexagonal axes)
Unique sites:
1 Mn 0.0000 0.0000 0.0000 [3 per cell]  6 Br 2.85
2 Co 0.0000 0.0000 0.5000 [3 per cell]  6 Br 2.63
3 Br 0.0000 0.0000 0.2422 [6 per cell]  3 Co 2.63, 3 Mn 2.85



(2)
First-principles (PBE-GGA) data for a geometry-optimized MnCo2Br structure, as listed in Alexandria.

Values from the calculation:
Energy   -88.68 eV/cell
Total magnetization   27.36 μB per cell
Formation energy from raw total energies   0.721 eV/atom
Distance to the lowest polymorph of the same formula   0.380 eV per atom
Mass density   7.53 Mg/m³

Cell: 6.0634 6.0634 6.0634 Å, 90.00 90.00 90.00°
With the nearest neighbours (Å) after each atom.
Space group Fm-3m (No. 225)
Unique sites:
1 Mn 0.0000 0.0000 0.0000 [4 per cell]  8 Co 2.63
2 Co 0.2500 0.2500 0.2500 [8 per cell]  4 Mn 2.63, 4 Br 2.63
3 Br 0.0000 0.0000 0.5000 [4 per cell]  8 Co 2.63



(3)
First-principles (PBE-GGA) data for a geometry-optimized MnCoBr2 structure, as listed in Alexandria.

Values from the calculation:
Energy   -39.92 eV/cell
Total magnetization   12.01 μB per cell
Formation energy from raw total energies   -0.085 eV/atom
Distance to the lowest polymorph of the same formula   0.000 eV per atom
Mass density   4.45 Mg/m³

Cell: 3.6356 3.8357 14.6362 Å, 90.00 90.00 90.00°
With the nearest neighbours (Å) after each atom.
Space group Immm (No. 71)
Unique sites:
1 Mn 0.0000 0.0000 0.0000 [2 per cell]  4 Br 2.64, 4 Co 2.64
2 Co 0.0000 0.0000 0.5000 [2 per cell]  4 Br 2.57, 4 Mn 2.64
3 Br 0.0000 0.5000 0.1237 [4 per cell]  2 Co 2.57, 2 Mn 2.64



Question: Among the records above, which one has the lowest energy?
Answer: MnCo2Br